Compound: ErZrTlAu
Source: Alexandria via LeMat-Bulk
Functional: PBE
Structure: relaxed

Values from the calculation:
The calculation puts the total energy at -20.104 eV for the cell shown. The volume comes out at 92.6 Å³ per cell. For the formation energy, the calculation gives -337 meV/atom.

Geometry as CIF:
```
data_ErZrTlAu
_chemical_formula_sum 'Er1 Zr1 Tl1 Au1'
_cell_length_a 5.0789
_cell_length_b 5.0789
_cell_length_c 5.0789
_cell_angle_alpha 60.00
_cell_angle_beta 60.00
_cell_angle_gamma 60.00
_symmetry_space_group_name_H-M 'P 1'
_symmetry_Int_Tables_number 1
_symmetry_space_group_name_Hall 'P 1'
loop_
_atom_site_label
_atom_site_fract_x
_atom_site_fract_y
_atom_site_fract_z
_atom_site_occupancy
Er1 0.0000 0.0000 0.0000 1
Zr1 0.5000 0.5000 0.5000 1
Tl1 0.2500 0.2500 0.2500 1
Au1 0.7500 0.7500 0.7500 1
```